Material: Tb2ZrSc
Method: DFT, PBE-GGA
State: relaxed

Unit cell a=3.4159 b=3.4159 c=32.6783 alpha=90.00 beta=90.00 gamma=120.00
Space group R3m (No. 160, hexagonal axes)
Symmetry-distinct sites (fractional):
Tb 0.0000 0.0000 0.0000 x3
Tb 0.0000 0.0000 0.1634 x3
Zr 0.0000 0.0000 0.4153 x3
Sc 0.0000 0.0000 0.5818 x3

Output
Energy: -5.943 eV/atom